# K2TlBr2, optimized geometry, DFT GGA-PBEsol
# - raw formation energy (eV/atom) = -0.88
# - E_tot (eV/cell) = -26.11
# - calculated density (kg/m³) = 3622
# - V (Å³ per atom) = 40.56
data_K2TlBr2
_symmetry_space_group_name_H-M 'I 4/m m m'
_symmetry_Int_Tables_number 139
_symmetry_space_group_name_Hall '-I 4 2'
_cell_length_a 5.4016
_cell_length_b 5.4016
_cell_length_c 13.9015
_cell_angle_alpha 90.00
_cell_angle_beta 90.00
_cell_angle_gamma 90.00
loop_
_atom_site_label
_atom_site_type_symbol
_atom_site_fract_x
_atom_site_fract_y
_atom_site_fract_z
_atom_site_occupancy
K1 K 0.0000 0.5000 0.2500 1
Tl1 Tl 0.0000 0.0000 0.0000 1
Br1 Br 0.0000 0.0000 0.3675 1

# MgSc2Ta, optimized geometry, DFT GGA-PBEsol
# - E_tot (eV/cell) = -77.14
# - calculated density (kg/m³) = 5755
# - calculated formation energy (meV per atom) = 442
# - V (Å³ per atom) = 21.29
data_MgSc2Ta
_symmetry_space_group_name_H-M 'R -3 m'
_symmetry_Int_Tables_number 166
_symmetry_space_group_name_Hall '-R 3 2"'
_cell_length_a 2.9874
_cell_length_b 2.9874
_cell_length_c 33.0555
_cell_angle_alpha 90.00
_cell_angle_beta 90.00
_cell_angle_gamma 120.00
loop_
_atom_site_label
_atom_site_type_symbol
_atom_site_fract_x
_atom_site_fract_y
_atom_site_fract_z
_atom_site_occupancy
Mg1 Mg 0.0000 0.0000 0.0000 1
Sc1 Sc 0.0000 0.0000 0.4152 1
Ta1 Ta 0.0000 0.0000 0.5000 1

# AsPb2, optimized geometry, DFT GGA-PBEsol
# - E above lowest polymorph (meV/atom) = 29
# - E_tot (eV/cell) = -51.77
# - calculated density (kg/m³) = 10270
# - calculated formation energy (meV per atom) = 53
# - V (Å³ per atom) = 26.37
data_AsPb2
_symmetry_space_group_name_H-M 'P n m a'
_symmetry_Int_Tables_number 62
_cell_length_a 6.4830
_cell_length_b 5.1884
_cell_length_c 9.4087
_cell_angle_alpha 90.00
_cell_angle_beta 90.00
_cell_angle_gamma 90.00
loop_
_symmetry_equiv_pos_as_xyz
'x,y,z'
'-x,-y,-z'
'-x+1/2,-y,z+1/2'
'x+1/2,y,-z+1/2'
'x+1/2,-y+1/2,-z+1/2'
'-x+1/2,y+1/2,z+1/2'
'-x,y+1/2,-z'
'x,-y+1/2,z'
loop_
_atom_site_label
_atom_site_type_symbol
_atom_site_fract_x
_atom_site_fract_y
_atom_site_fract_z
_atom_site_occupancy
As1 As 0.2125 0.2500 0.0967 1
Pb1 Pb 0.0298 0.2500 0.8000 1
Pb2 Pb 0.1734 0.2500 0.4224 1

# BeAgPt2, optimized geometry, DFT GGA-PBEsol
# - E_tot (eV/cell) = -44.01
# - calculated density (kg/m³) = 14942
# - calculated formation energy (meV per atom) = -192
# - V (Å³ per atom) = 14.09
data_BeAgPt2
_symmetry_space_group_name_H-M 'A m m 2'
_symmetry_Int_Tables_number 38
_cell_length_a 3.6287
_cell_length_b 2.7391
_cell_length_c 11.3385
_cell_angle_alpha 90.00
_cell_angle_beta 90.00
_cell_angle_gamma 90.00
loop_
_symmetry_equiv_pos_as_xyz
'x,y,z'
'-x,-y,z'
'-x,y,z'
'x,-y,z'
'x,y+1/2,z+1/2'
'-x,-y+1/2,z+1/2'
'-x,y+1/2,z+1/2'
'x,-y+1/2,z+1/2'
loop_
_atom_site_label
_atom_site_type_symbol
_atom_site_fract_x
_atom_site_fract_y
_atom_site_fract_z
_atom_site_occupancy
Be1 Be 0.0000 0.0000 0.0000 1
Ag1 Ag 0.5000 0.0000 0.1557 1
Pt1 Pt 0.0000 0.0000 0.7950 1
Pt2 Pt 0.5000 0.0000 0.4387 1

# HgPt2Cl, optimized geometry, DFT GGA-PBEsol
# - E above lowest polymorph (meV/atom) = 14
# - raw formation energy (eV/atom) = 0.48
# - E_tot (eV/cell) = -29.16
# - calculated density (kg/m³) = 15322
# - V (Å³ per atom) = 16.97
data_HgPt2Cl
_symmetry_space_group_name_H-M 'I 4/m m m'
_symmetry_Int_Tables_number 139
_symmetry_space_group_name_Hall '-I 4 2'
_cell_length_a 4.0593
_cell_length_b 4.0593
_cell_length_c 8.2372
_cell_angle_alpha 90.00
_cell_angle_beta 90.00
_cell_angle_gamma 90.00
loop_
_atom_site_label
_atom_site_type_symbol
_atom_site_fract_x
_atom_site_fract_y
_atom_site_fract_z
_atom_site_occupancy
Hg1 Hg 0.0000 0.0000 0.0000 1
Pt1 Pt 0.0000 0.5000 0.2500 1
Cl1 Cl 0.0000 0.0000 0.5000 1

# NaNi2PI, optimized geometry, DFT GGA-PBEsol
# - raw formation energy (eV/atom) = 0.04
# - E_tot (eV/cell) = -21.06
# - calculated density (kg/m³) = 4612
# - V (Å³ per atom) = 21.48
data_NaNi2PI
_symmetry_space_group_name_H-M 'P 4/m m m'
_symmetry_Int_Tables_number 123
_symmetry_space_group_name_Hall '-P 4 2'
_cell_length_a 4.1821
_cell_length_b 4.1821
_cell_length_c 6.1406
_cell_angle_alpha 90.00
_cell_angle_beta 90.00
_cell_angle_gamma 90.00
loop_
_atom_site_label
_atom_site_type_symbol
_atom_site_fract_x
_atom_site_fract_y
_atom_site_fract_z
_atom_site_occupancy
Na1 Na 0.0000 0.0000 0.0000 1
Ni1 Ni 0.0000 0.5000 0.5000 1
P1 P 0.0000 0.0000 0.5000 1
I1 I 0.5000 0.5000 0.0000 1

# ZnNi2, optimized geometry, DFT GGA-PBEsol
# - E_tot (eV/cell) = -57.13
# - calculated density (kg/m³) = 9127
# - calculated formation energy (meV per atom) = -128
# - V (Å³ per atom) = 11.09
data_ZnNi2
_symmetry_space_group_name_H-M 'C 1 m 1'
_symmetry_Int_Tables_number 8
_cell_length_a 9.1903
_cell_length_b 2.5292
_cell_length_c 5.9211
_cell_angle_alpha 90.00
_cell_angle_beta 104.84
_cell_angle_gamma 90.00
loop_
_symmetry_equiv_pos_as_xyz
'x,y,z'
'x,-y,z'
'x+1/2,y+1/2,z'
'x+1/2,-y+1/2,z'
loop_
_atom_site_label
_atom_site_type_symbol
_atom_site_fract_x
_atom_site_fract_y
_atom_site_fract_z
_atom_site_occupancy
Zn1 Zn 0.0000 0.0000 0.0000 1
Zn2 Zn 0.1796 0.5000 0.3508 1
Ni1 Ni 0.1214 0.5000 0.7349 1
Ni2 Ni 0.2821 0.0000 0.0656 1
Ni3 Ni 0.3411 0.0000 0.6751 1
Ni4 Ni 0.4559 0.5000 0.4025 1

# TmTlTe2, optimized geometry, DFT GGA-PBEsol
# - raw formation energy (eV/atom) = -0.99
# - E_tot (eV/cell) = -55.59
# - calculated density (kg/m³) = 8101
# - V (Å³ per atom) = 32.21
data_TmTlTe2
_symmetry_space_group_name_H-M 'R -3 m'
_symmetry_Int_Tables_number 166
_symmetry_space_group_name_Hall '-R 3 2"'
_cell_length_a 4.3101
_cell_length_b 4.3101
_cell_length_c 24.0246
_cell_angle_alpha 90.00
_cell_angle_beta 90.00
_cell_angle_gamma 120.00
loop_
_atom_site_label
_atom_site_type_symbol
_atom_site_fract_x
_atom_site_fract_y
_atom_site_fract_z
_atom_site_occupancy
Tm1 Tm 0.0000 0.0000 0.0000 1
Tl1 Tl 0.0000 0.0000 0.5000 1
Te1 Te 0.0000 0.0000 0.2616 1

# ReSeIBr2, optimized geometry, DFT GGA-PBEsol
# - raw formation energy (eV/atom) = 1.64
# - E_tot (eV/cell) = -14.47
# - calculated density (kg/m³) = 5369
# - V (Å³ per atom) = 34.14
data_ReSeIBr2
_symmetry_space_group_name_H-M 'P 4/m m m'
_symmetry_Int_Tables_number 123
_symmetry_space_group_name_Hall '-P 4 2'
_cell_length_a 5.6620
_cell_length_b 5.6620
_cell_length_c 5.3247
_cell_angle_alpha 90.00
_cell_angle_beta 90.00
_cell_angle_gamma 90.00
loop_
_atom_site_label
_atom_site_type_symbol
_atom_site_fract_x
_atom_site_fract_y
_atom_site_fract_z
_atom_site_occupancy
Re1 Re 0.0000 0.0000 0.0000 1
Se1 Se 0.5000 0.5000 0.0000 1
I1 I 0.5000 0.5000 0.5000 1
Br1 Br 0.0000 0.5000 0.5000 1

# CdTc2Ir, optimized geometry, DFT GGA-PBEsol
# - E_tot (eV/cell) = -32.77
# - calculated density (kg/m³) = 13774
# - calculated formation energy (meV per atom) = 196
# - V (Å³ per atom) = 15.09
data_CdTc2Ir
_symmetry_space_group_name_H-M 'P 4/m m m'
_symmetry_Int_Tables_number 123
_symmetry_space_group_name_Hall '-P 4 2'
_cell_length_a 2.7162
_cell_length_b 2.7162
_cell_length_c 8.1807
_cell_angle_alpha 90.00
_cell_angle_beta 90.00
_cell_angle_gamma 90.00
loop_
_atom_site_label
_atom_site_type_symbol
_atom_site_fract_x
_atom_site_fract_y
_atom_site_fract_z
_atom_site_occupancy
Cd1 Cd 0.0000 0.0000 0.0000 1
Tc1 Tc 0.5000 0.5000 0.2699 1
Ir1 Ir 0.0000 0.0000 0.5000 1

# Co2TcPt, optimized geometry, DFT GGA-PBEsol
# - E above lowest polymorph (meV/atom) = 0
# - E_tot (eV/cell) = -67.59
# - calculated density (kg/m³) = 13953
# - calculated formation energy (meV per atom) = -22
# - V (Å³ per atom) = 12.23
data_Co2TcPt
_symmetry_space_group_name_H-M 'I -4 m 2'
_symmetry_Int_Tables_number 119
_symmetry_space_group_name_Hall 'I -4 -2'
_cell_length_a 3.6078
_cell_length_b 3.6078
_cell_length_c 7.5150
_cell_angle_alpha 90.00
_cell_angle_beta 90.00
_cell_angle_gamma 90.00
loop_
_atom_site_label
_atom_site_type_symbol
_atom_site_fract_x
_atom_site_fract_y
_atom_site_fract_z
_atom_site_occupancy
Co1 Co 0.0000 0.0000 0.0000 1
Co2 Co 0.0000 0.5000 0.2500 1
Tc1 Tc 0.0000 0.0000 0.5000 1
Pt1 Pt 0.0000 0.5000 0.7500 1

# CaAl3Sb, optimized geometry, DFT GGA-PBEsol
# - raw formation energy (eV/atom) = 1.21
# - E_tot (eV/cell) = -12.92
# - calculated density (kg/m³) = 2544
# - V (Å³ per atom) = 31.69
data_CaAl3Sb
_symmetry_space_group_name_H-M 'P m -3 m'
_symmetry_Int_Tables_number 221
_symmetry_space_group_name_Hall '-P 4 2 3'
_cell_length_a 5.4113
_cell_length_b 5.4113
_cell_length_c 5.4113
_cell_angle_alpha 90.00
_cell_angle_beta 90.00
_cell_angle_gamma 90.00
loop_
_atom_site_label
_atom_site_type_symbol
_atom_site_fract_x
_atom_site_fract_y
_atom_site_fract_z
_atom_site_occupancy
Ca1 Ca 0.0000 0.0000 0.0000 1
Al1 Al 0.0000 0.0000 0.5000 1
Sb1 Sb 0.5000 0.5000 0.5000 1

# CdP2Au, optimized geometry, DFT GGA-PBEsol
# - E_tot (eV/cell) = -15.56
# - calculated density (kg/m³) = 8381
# - calculated formation energy (meV per atom) = 286
# - V (Å³ per atom) = 18.39
data_CdP2Au
_symmetry_space_group_name_H-M 'P 4/m m m'
_symmetry_Int_Tables_number 123
_symmetry_space_group_name_Hall '-P 4 2'
_cell_length_a 3.7024
_cell_length_b 3.7024
_cell_length_c 5.3668
_cell_angle_alpha 90.00
_cell_angle_beta 90.00
_cell_angle_gamma 90.00
loop_
_atom_site_label
_atom_site_type_symbol
_atom_site_fract_x
_atom_site_fract_y
_atom_site_fract_z
_atom_site_occupancy
Cd1 Cd 0.0000 0.0000 0.0000 1
P1 P 0.5000 0.5000 0.3016 1
Au1 Au 0.0000 0.0000 0.5000 1

# BaZr4P6O24, optimized geometry, DFT GGA-PBEsol
# - raw formation energy (eV/atom) = -2.83
# - E_tot (eV/cell) = -894.47
# - calculated density (kg/m³) = 3377
# - V (Å³ per atom) = 15.06
data_BaZr4P6O24
_symmetry_space_group_name_H-M 'R -3'
_symmetry_Int_Tables_number 148
_symmetry_space_group_name_Hall '-R 3'
_cell_length_a 8.7188
_cell_length_b 8.7188
_cell_length_c 24.0235
_cell_angle_alpha 90.00
_cell_angle_beta 90.00
_cell_angle_gamma 120.00
loop_
_atom_site_label
_atom_site_type_symbol
_atom_site_fract_x
_atom_site_fract_y
_atom_site_fract_z
_atom_site_occupancy
Ba1 Ba 0.0000 0.0000 0.0000 1
Zr1 Zr 0.0000 0.0000 0.1507 1
Zr2 Zr 0.0000 0.0000 0.3531 1
P1 P 0.0051 0.7172 0.7483 1
O1 O 0.0026 0.1846 0.9073 1
O2 O 0.0212 0.2009 0.1985 1
O3 O 0.0511 0.8352 0.3999 1
O4 O 0.0678 0.8481 0.6991 1